A relaxed RbVSeO2 crystal. Source: the Alexandria database, functional PBE+U.

```
data_RbVSeO2
_chemical_formula_sum 'Rb1 V1 Se1 O2'
_cell_length_a 4.0565
_cell_length_b 4.0565
_cell_length_c 4.9539
_cell_angle_alpha 90.00
_cell_angle_beta 90.00
_cell_angle_gamma 90.00
_symmetry_space_group_name_H-M 'P 4/m m m'
_symmetry_Int_Tables_number 123
_symmetry_space_group_name_Hall '-P 4 2'
loop_
_atom_site_label
_atom_site_fract_x
_atom_site_fract_y
_atom_site_fract_z
Rb1 0.0000 0.0000 0.0000
V1 0.5000 0.5000 0.5000
Se1 0.5000 0.5000 0.0000
O1 0.0000 0.5000 0.5000
```

Calculated values
total energy: -26.06 eV/cell
total magnetic moment: 0.00 μB/f.u.
crystal system: tetragonal